The following is a SCAN calculation of AlCr2Ag at its PBEsol-relaxed geometry, from Alexandria via LeMat-Bulk.

ΔE_f = 0.101 eV per atom
Symmetry = P4/mmm (123)
Volume = 15.1 Å³/atom

Cell lengths 3.1446, 4.3840, 4.3840 Å; angles 90.01, 90.00, 90.00 degrees
Each line ends with the local moment (μB).
Fractional positions:
Cr  0.0000  0.5000  0.0000  3.47
Ag  0.5000  0.0000  0.0000  0.09
Al  0.5000  0.5000  0.5000  -0.09
Cr  0.0000  0.0000  0.5000  3.47

---

The following is a SCAN calculation of ZrAg3Pb at its PBEsol-relaxed geometry, from Alexandria via LeMat-Bulk.

ΔE_f = 0.978 eV per atom
Symmetry = Pm-3m (221)
Volume = 25.9 Å³/atom

Cell lengths 5.0586, 5.0586, 5.0586 Å; angles 90.00, 90.00, 90.00 degrees
Each line ends with the local moment (μB).
Fractional positions:
Pb  0.0000  0.0000  0.0000  -0.07
Ag  0.5000  0.0000  0.0000  0.01
Ag  0.0000  0.0000  0.5000  0.01
Zr  0.5000  0.5000  0.5000  1.39
Ag  0.0000  0.5000  0.0000  0.01

---

The following is a SCAN calculation of MgSiTc2 at its PBEsol-relaxed geometry, from Alexandria via LeMat-Bulk.

Symmetry = Cmmm (65)
Volume = 13.7 Å³/atom
Relative energy among the computed polymorphs = 38 meV per atom
Formation energy from raw total energies = 5.99 kJ/mol of atoms

Cell lengths 3.1079, 4.2023, 4.2023 Å; angles 89.86, 90.00, 90.00 degrees
Fractional positions:
Si  0.5000  0.5000  0.5000
Tc  0.0000  0.5000  0.0000
Tc  0.0000  0.0000  0.5000
Mg  0.5000  0.0000  0.0000

---

The following is a SCAN calculation of Sm3Si2Pd2 at its PBEsol-relaxed geometry, from Alexandria via LeMat-Bulk.

Symmetry = Pbcm (57)
Volume = 20.8 Å³/atom
Formation energy from raw total energies = -88.92 kJ/mol of atoms

Cell lengths 5.6400, 7.9380, 12.9847 Å; angles 90.00, 90.00, 90.00 degrees
Fractional positions:
Si  0.3312  0.7500  0.0000
Sm  0.1282  0.1050  0.8958
Si  0.1525  0.1064  0.2500
Pd  0.3835  0.4568  0.5909
Pd  0.6165  0.9568  0.5909
Si  0.8475  0.8936  0.7500
Si  0.6688  0.2500  0.5000
Sm  0.3578  0.7451  0.7500
Pd  0.6165  0.9568  0.9091
Sm  0.8718  0.8950  0.3958
Pd  0.3835  0.0432  0.0909
Sm  0.1282  0.3950  0.3958
Pd  0.6165  0.5432  0.0909
Pd  0.3835  0.4568  0.9091
Sm  0.8718  0.6050  0.6042
Si  0.6688  0.2500  0.0000
Sm  0.8718  0.8950  0.1042
Sm  0.8718  0.6050  0.8958
Pd  0.3835  0.0432  0.4091
Sm  0.1282  0.3950  0.1042
Si  0.8475  0.6064  0.2500
Sm  0.3578  0.7549  0.2500
Sm  0.6422  0.2451  0.7500
Sm  0.1282  0.1050  0.6042
Sm  0.6422  0.2549  0.2500
Si  0.3312  0.7500  0.5000
Si  0.1525  0.3936  0.7500
Pd  0.6165  0.5432  0.4091

---

The following is a SCAN calculation of ZnCdCu4 at its PBEsol-relaxed geometry, from Alexandria via LeMat-Bulk.

ΔE_f = 0.034 eV per atom
Symmetry = F-43m (216)
Volume = 13.4 Å³/atom

Cell lengths 4.8447, 4.8447, 4.8447 Å; angles 60.00, 60.00, 60.00 degrees
Fractional positions:
Zn  0.7500  0.7500  0.7500
Cd  0.0000  0.0000  0.0000
Cu  0.3753  0.3753  0.3753
Cu  0.3753  0.8741  0.3753
Cu  0.3753  0.3753  0.8741
Cu  0.8741  0.3753  0.3753

---

The following is a SCAN calculation of LaCdP2 at its PBEsol-relaxed geometry, from Alexandria via LeMat-Bulk.

ΔE_f = -0.532 eV per atom
Symmetry = Fm-3m (225)
Volume = 20.5 Å³/atom
Relative energy among the computed polymorphs = 67 meV per atom

Cell lengths 4.8792, 4.8792, 4.8792 Å; angles 60.00, 60.00, 60.00 degrees
Fractional positions:
P  0.2500  0.2500  0.2500
La  0.5000  0.5000  0.5000
P  0.7500  0.7500  0.7500
Cd  0.0000  0.0000  0.0000

---

no.,density of states at the Fermi level (states/eV per atom),calculated total energy (eV per atom)
1,0.44,-18.871
2,0.41,-39.138
3,1.22,-21.215
4,0.64,-32.194
5,0.28,-17.420
6,0.56,-24.111